(1)
Nd6DyY3: relaxed, PBE.

abc: 11.1795 19.5288 6.2935
angles: 90.00 90.00 90.00
Last column: nearest neighbours and their distance in Å.
Space group Cmc2_1 (No. 36)
Symmetry-distinct sites (fractional):
Nd 0.0000 0.0408 0.0000 [4 per cell]  1 Dy 3.37, 2 Nd 3.53, 4 Y 3.55-3.68
Nd 0.0000 0.2795 0.7276 [4 per cell]  2 Nd 3.16, 1 Dy 3.37, 1 Y 3.42
Nd 0.1673 0.4572 0.6247 [8 per cell]  4 Y 3.52-3.74, 5 Nd 3.53-3.80
Nd 0.2349 0.2899 0.4506 [8 per cell]  4 Nd 3.16-3.53, 1 Y 3.34, 2 Dy 3.37-3.52
Dy 0.0000 0.2003 0.2025 [4 per cell]  3 Y 3.36-3.63, 7 Nd 3.37-3.65
Y 0.0000 0.3857 0.1597 [4 per cell]  7 Nd 3.42-3.74, 1 Dy 3.63, 2 Y 3.77
Y 0.1682 0.1127 0.5503 [8 per cell]  6 Nd 3.34-3.68, 1 Dy 3.36

Values from the calculation:
Raw total energy, eV per cell: -205.03
V, Å³ per atom: 34.4

=====

(2)
Y3AlN: relaxed, PBE.

abc: 12.7774 12.7774 12.7774
angles: 90.00 90.00 90.00
Last column: nearest neighbours and their distance in Å.
Space group Fd-3m (No. 227, origin choice 2)
Symmetry-distinct sites (fractional):
Y 0.0657 0.3750 0.3750 [48 per cell]  2 N 2.41
Al 0.0000 0.0000 0.5000 [16 per cell]  6 Y 3.26
N 0.0000 0.0000 0.0000 [16 per cell]  6 Y 2.41

Values from the calculation:
V, Å³ per atom: 26.1
Formation energy (no corrections), eV/atom: -0.4100

=====

(3)
Cs3MgAs: relaxed, PBE.

abc: 7.1533 7.1533 7.1533
angles: 90.00 90.00 90.00
Last column: nearest neighbours and their distance in Å.
Space group Pm-3m (No. 221)
Symmetry-distinct sites (fractional):
Cs 0.0000 0.0000 0.5000 [3 per cell]  2 As 3.58
Mg 0.5000 0.5000 0.5000 [1 per cell]  12 Cs 5.06
As 0.0000 0.0000 0.0000 [1 per cell]  6 Cs 3.58

Values from the calculation:
Raw total energy, eV per cell: -8.28
V, Å³ per atom: 73.2